Here is a geometry-optimized Cd12Ag6Au structure from the Alexandria database. Energies are from PBE.

Cell lengths 7.295, 7.295, 7.295 Å; angles 90.16, 90.16, 90.16 degrees
Fractional coordinates of all 19 atoms:
Ag (0.732, 0.885, 0.274)
Ag (0.274, 0.732, 0.885)
Ag (0.885, 0.274, 0.732)
Ag (0.115, 0.726, 0.268)
Ag (0.726, 0.268, 0.115)
Ag (0.268, 0.115, 0.726)
Cd (0.152, 0.373, 0.038)
Cd (0.566, 0.197, 0.475)
Cd (0.525, 0.434, 0.803)
Cd (0.848, 0.627, 0.962)
Cd (0.475, 0.566, 0.197)
Cd (0.434, 0.803, 0.525)
Cd (0.197, 0.475, 0.566)
Cd (0.627, 0.962, 0.848)
Cd (0.373, 0.038, 0.152)
Cd (0.038, 0.152, 0.373)
Cd (0.803, 0.525, 0.434)
Cd (0.962, 0.848, 0.627)
Au (0.000, 0.000, 0.000)

Results
For the density, the calculation gives 9382 kg/m³. The density of states at the Fermi level comes out at 0.2361 states/eV/atom. Its formation energy is -0.052 eV/atom. The symmetry is R-3.

Here is a geometry-optimized CrHgGe2 structure from the Alexandria database. Energies are from PBE.

Cell lengths 4.334, 4.334, 9.209 Å; angles 76.39, 76.39, 90.00 degrees
Fractional coordinates of all 8 atoms:
Hg (0.000, 0.000, 0.000)
Hg (0.750, 0.250, 0.500)
Ge (0.875, 0.819, 0.750)
Ge (0.375, 0.431, 0.750)
Ge (0.181, 0.625, 0.250)
Ge (0.569, 0.125, 0.250)
Cr (0.500, 0.500, 0.000)
Cr (0.250, 0.750, 0.500)

Results
For the density, the calculation gives 8101 kg/m³. The density of states at the Fermi level comes out at 0.6087 states/eV/atom. Its formation energy is 0.393 eV/atom. The symmetry is I-42d.

Here is a geometry-optimized DyCuNi2 structure from the Alexandria database. Energies are from PBE.

Cell lengths 5.033, 5.033, 8.606 Å; angles 73.00, 73.00, 60.00 degrees
Fractional coordinates of all 12 atoms:
Dy (0.138, 0.138, 0.587)
Dy (0.862, 0.862, 0.413)
Dy (0.000, 0.000, 0.000)
Cu (0.334, 0.334, 0.999)
Cu (0.500, 0.500, 0.500)
Cu (0.666, 0.666, 0.001)
Ni (0.415, 0.415, 0.249)
Ni (0.920, 0.415, 0.249)
Ni (0.585, 0.080, 0.751)
Ni (0.080, 0.585, 0.751)
Ni (0.415, 0.920, 0.249)
Ni (0.585, 0.585, 0.751)

Results
For the density, the calculation gives 9628 kg/m³. The density of states at the Fermi level comes out at 0.4547 states/eV/atom. Its formation energy is -0.376 eV/atom. The symmetry is R-3m.

Here is a geometry-optimized LiMg2Pb structure from the Alexandria database. Energies are from PBE.

Cell lengths 4.489, 4.487, 4.437 Å; angles 90.00, 90.00, 90.00 degrees
Fractional coordinates of all 4 atoms:
Mg (0.000, 0.000, 0.000)
Mg (0.500, 0.500, 0.000)
Pb (0.500, 0.000, 0.500)
Li (0.000, 0.500, 0.500)

Results
For the density, the calculation gives 4882 kg/m³. The density of states at the Fermi level comes out at 0.2236 states/eV/atom. Its formation energy is -0.153 eV/atom. The symmetry is P4/mmm.

Here is a geometry-optimized ZrW structure from the Alexandria database. Energies are from PBE.

Cell lengths 7.551, 7.551, 7.551 Å; angles 90.00, 90.00, 90.00 degrees
Fractional coordinates of all 12 atoms:
W (0.000, 0.750, 0.500)
W (0.500, 0.000, 0.250)
W (0.750, 0.500, 0.000)
W (0.500, 0.000, 0.750)
W (0.250, 0.500, 0.000)
W (0.000, 0.250, 0.500)
Zr (0.000, 0.500, 0.250)
Zr (0.500, 0.750, 0.000)
Zr (0.250, 0.000, 0.500)
Zr (0.750, 0.000, 0.500)
Zr (0.000, 0.500, 0.750)
Zr (0.500, 0.250, 0.000)

Results
For the density, the calculation gives 6364 kg/m³. The density of states at the Fermi level comes out at 2.0671 states/eV/atom. Its formation energy is 2.893 eV/atom. The symmetry is Pm-3n.

Here is a geometry-optimized Hf2ZnIn structure from the Alexandria database. Energies are from PBE.

Cell lengths 7.698, 7.698, 6.171 Å; angles 51.41, 51.41, 90.00 degrees
Fractional coordinates of all 8 atoms:
In (0.000, 0.000, 0.000)
In (0.750, 0.250, 0.500)
Hf (0.875, 0.853, 0.750)
Hf (0.147, 0.625, 0.250)
Hf (0.603, 0.125, 0.250)
Hf (0.375, 0.397, 0.750)
Zn (0.250, 0.750, 0.500)
Zn (0.500, 0.500, 0.000)

Results
For the density, the calculation gives 10356 kg/m³. The density of states at the Fermi level comes out at 0.7607 states/eV/atom. Its formation energy is 0.228 eV/atom. The symmetry is I-42d.

Here is a geometry-optimized LaHfPd structure from the Alexandria database. Energies are from PBE.

Cell lengths 3.456, 3.456, 6.581 Å; angles 105.22, 105.22, 90.00 degrees
Fractional coordinates of all 3 atoms:
Hf (0.701, 0.701, 0.402)
La (0.996, 0.996, 0.992)
Pd (0.303, 0.303, 0.606)

Results
For the density, the calculation gives 9645 kg/m³. The density of states at the Fermi level comes out at 1.2786 states/eV/atom. Its formation energy is -0.373 eV/atom. The symmetry is I4mm.

Here is a geometry-optimized Sr3Tl2CdAg6 structure from the Alexandria database. Energies are from PBE.

Cell lengths 6.213, 6.213, 9.434 Å; angles 90.00, 90.00, 120.00 degrees
Fractional coordinates of all 12 atoms:
Sr (0.000, 0.000, 0.000)
Sr (0.333, 0.667, 0.604)
Sr (0.667, 0.333, 0.396)
Ag (0.822, 0.178, 0.724)
Ag (0.822, 0.643, 0.724)
Ag (0.357, 0.178, 0.724)
Ag (0.178, 0.357, 0.276)
Ag (0.178, 0.822, 0.276)
Ag (0.643, 0.822, 0.276)
Tl (0.667, 0.333, 0.011)
Tl (0.333, 0.667, 0.989)
Cd (0.000, 0.000, 0.500)

Results
For the density, the calculation gives 7537 kg/m³. The density of states at the Fermi level comes out at 0.3862 states/eV/atom. Its formation energy is -0.184 eV/atom. The symmetry is P-3m1.

Here is a geometry-optimized Rb2BiCl6F structure from the Alexandria database. Energies are from PBE.

Cell lengths 8.182, 8.182, 7.359 Å; angles 56.22, 56.22, 90.00 degrees
Fractional coordinates of all 10 atoms:
Bi (0.000, 0.000, 0.000)
Rb (0.250, 0.750, 0.500)
Rb (0.750, 0.250, 0.500)
Cl (0.727, 0.727, 0.547)
Cl (0.273, 0.273, 0.453)
Cl (0.772, 0.772, 0.000)
Cl (0.772, 0.228, 0.000)
Cl (0.228, 0.228, 0.000)
Cl (0.228, 0.772, 0.000)
F (0.500, 0.500, 0.000)

Results
For the density, the calculation gives 3336 kg/m³. The density of states at the Fermi level comes out at 0.0001 states/eV/atom. For the total DFT energy (no corrections), the calculation gives -0.22527 Ry per atom. The symmetry is I4/mmm.

Here is a geometry-optimized KZnFeGe2 structure from the Alexandria database. Energies are from PBE.

Cell lengths 4.597, 4.597, 4.875 Å; angles 90.00, 90.00, 90.00 degrees
Fractional coordinates of all 5 atoms:
Zn (0.000, 0.000, 0.500)
Ge (0.500, 0.000, 0.000)
Ge (0.000, 0.500, 0.000)
Fe (0.000, 0.000, 0.000)
K (0.500, 0.500, 0.500)

Results
For the density, the calculation gives 4926 kg/m³. The density of states at the Fermi level comes out at 0.4384 states/eV/atom. Its formation energy is 0.014 eV/atom. The symmetry is P4/mmm.

Here is a geometry-optimized SrNdZnAu structure from the Alexandria database. Energies are from PBE.

Cell lengths 5.332, 5.332, 5.332 Å; angles 60.00, 60.00, 60.00 degrees
Fractional coordinates of all 4 atoms:
Au (0.500, 0.500, 0.500)
Nd (0.750, 0.750, 0.750)
Sr (0.250, 0.250, 0.250)
Zn (0.000, 0.000, 0.000)

Results
For the density, the calculation gives 7657 kg/m³. The density of states at the Fermi level comes out at 0.9359 states/eV/atom. Its formation energy is -0.456 eV/atom. The symmetry is F-43m.

Here is a geometry-optimized Sr2Mo structure from the Alexandria database. Energies are from PBE.

Cell lengths 5.629, 5.629, 5.629 Å; angles 60.00, 60.00, 60.00 degrees
Fractional coordinates of all 3 atoms:
Sr (0.250, 0.250, 0.250)
Sr (0.750, 0.750, 0.750)
Mo (0.000, 0.000, 0.000)

Results
For the density, the calculation gives 3571 kg/m³. The density of states at the Fermi level comes out at 1.2113 states/eV/atom. Its formation energy is 1.203 eV/atom. The symmetry is Fm-3m.

Here is a geometry-optimized TbPm5Ho2Sc structure from the Alexandria database. Energies are from PBE.

Cell lengths 5.346, 11.237, 10.194 Å; angles 90.00, 90.00, 103.76 degrees
Fractional coordinates of all 18 atoms:
Pm (0.626, 0.252, 0.508)
Pm (0.374, 0.748, 0.008)
Pm (0.001, 0.003, 0.508)
Pm (0.500, 0.000, 0.258)
Pm (0.279, 0.558, 0.320)
Pm (0.279, 0.558, 0.696)
Pm (0.500, 0.000, 0.758)
Pm (0.721, 0.442, 0.821)
Pm (0.999, 0.997, 0.008)
Pm (0.721, 0.442, 0.196)
Sc (0.785, 0.570, 0.508)
Sc (0.215, 0.430, 0.008)
Ho (0.884, 0.768, 0.757)
Ho (0.116, 0.232, 0.257)
Ho (0.884, 0.768, 0.260)
Ho (0.116, 0.232, 0.760)
Tb (0.601, 0.202, 0.008)
Tb (0.399, 0.798, 0.508)

Results
For the density, the calculation gives 7028 kg/m³. The density of states at the Fermi level comes out at 1.4767 states/eV/atom. Its formation energy is 0.128 eV/atom. The symmetry is Cmcm.

Here is a geometry-optimized BaMnTcP2 structure from the Alexandria database. Energies are from PBE.

Cell lengths 3.948, 3.948, 7.017 Å; angles 106.34, 106.34, 90.00 degrees
Fractional coordinates of all 5 atoms:
P (0.350, 0.350, 0.700)
P (0.650, 0.650, 0.300)
Ba (0.000, 0.000, 0.000)
Tc (0.750, 0.250, 0.500)
Mn (0.250, 0.750, 0.500)

Results
For the density, the calculation gives 5828 kg/m³. The density of states at the Fermi level comes out at 0.5093 states/eV/atom. Its formation energy is -0.781 eV/atom. The symmetry is I-4m2.

Here is a geometry-optimized Fe2HgAs structure from the Alexandria database. Energies are from PBE.

Cell lengths 4.576, 4.576, 2.950 Å; angles 89.98, 89.98, 89.83 degrees
Fractional coordinates of all 4 atoms:
Fe (0.500, 0.500, 0.000)
Fe (0.000, 0.000, 0.000)
As (0.000, 0.500, 0.500)
Hg (0.500, 0.000, 0.500)

Results
For the density, the calculation gives 10411 kg/m³. The density of states at the Fermi level comes out at 0.7913 states/eV/atom. Its formation energy is 0.415 eV/atom. The symmetry is Cmmm.

Here is a geometry-optimized Cs2TaSI structure from the Alexandria database. Energies are from PBE.

Cell lengths 7.235, 5.379, 7.235 Å; angles 90.00, 90.00, 90.00 degrees
Fractional coordinates of all 5 atoms:
I (0.000, 0.000, 0.000)
Ta (0.500, 0.500, 0.500)
Cs (0.500, 0.000, 0.000)
Cs (0.000, 0.000, 0.500)
S (0.000, 0.500, 0.000)

Results
For the density, the calculation gives 3572 kg/m³. The density of states at the Fermi level comes out at 0.6274 states/eV/atom. For the total DFT energy (no corrections), the calculation gives -0.21399 Ry per atom. The symmetry is P4/mmm.

Here is a geometry-optimized NaTaGaBi2 structure from the Alexandria database. Energies are from PBE.

Cell lengths 5.419, 4.880, 5.419 Å; angles 90.00, 90.00, 90.00 degrees
Fractional coordinates of all 5 atoms:
Na (0.000, 0.000, 0.000)
Bi (0.000, 0.000, 0.500)
Bi (0.500, 0.000, 0.000)
Ga (0.000, 0.500, 0.000)
Ta (0.500, 0.500, 0.500)

Results
For the density, the calculation gives 8013 kg/m³. The density of states at the Fermi level comes out at 1.1297 states/eV/atom. Its formation energy is 1.331 eV/atom. The symmetry is P4/mmm.

Here is a geometry-optimized BAsC2 structure from the Alexandria database. Energies are from PBE.

Cell lengths 2.700, 3.989, 5.182 Å; angles 78.68, 75.05, 70.35 degrees
Fractional coordinates of all 4 atoms:
As (0.961, 0.980, 0.963)
C (0.705, 0.127, 0.333)
C (0.880, 0.743, 0.368)
B (0.487, 0.521, 0.375)

Results
For the density, the calculation gives 3616 kg/m³. The density of states at the Fermi level comes out at 0.1650 states/eV/atom. Its formation energy is 0.686 eV/atom. The symmetry is P1.

Here is a geometry-optimized TmNiPt3 structure from the Alexandria database. Energies are from PBE.

Cell lengths 4.358, 6.462, 6.077 Å; angles 90.00, 90.00, 90.00 degrees
Fractional coordinates of all 10 atoms:
Pt (0.000, 0.701, 0.278)
Pt (0.000, 0.000, 0.949)
Pt (0.500, 0.500, 0.051)
Pt (0.000, 0.299, 0.278)
Pt (0.500, 0.201, 0.722)
Pt (0.500, 0.799, 0.722)
Tm (0.500, 0.000, 0.245)
Tm (0.000, 0.500, 0.755)
Ni (0.000, 0.000, 0.550)
Ni (0.500, 0.500, 0.450)

Results
For the density, the calculation gives 15775 kg/m³. The density of states at the Fermi level comes out at 1.1756 states/eV/atom. Its formation energy is -0.563 eV/atom. The symmetry is Pmmn.

Here is a geometry-optimized LiCa2TlS structure from the Alexandria database. Energies are from PBE.

Cell lengths 5.481, 5.481, 4.537 Å; angles 90.00, 90.00, 90.00 degrees
Fractional coordinates of all 5 atoms:
S (0.000, 0.000, 0.000)
Tl (0.500, 0.500, 0.500)
Ca (0.500, 0.000, 0.000)
Ca (0.000, 0.500, 0.000)
Li (0.000, 0.000, 0.500)

Results
For the density, the calculation gives 3941 kg/m³. The density of states at the Fermi level comes out at 0.5108 states/eV/atom. For the total DFT energy (no corrections), the calculation gives -0.24836 Ry per atom. The symmetry is P4/mmm.